(1)
DFT (PBE) results for an optimized crystal structure of KScAl4.

The space group is F-43m (No. 216) and the conventional cell measures 7.927, 7.927 and 7.927 Å, with angles of 90.00, 90.00 and 90.00 degrees. Symmetry generates all atoms from K at (0.000, 0.000, 0.000), Sc at (0.250, 0.250, 0.750) and Al at (0.124, 0.124, 0.376).

For the total magnetization, the calculation gives 0.000 μB/atom. The crystal system is cubic. The formation enthalpy at 0 K comes out at -0.014 eV/atom. The volume is 498.1 Å³ per cell.



(2)
DFT (PBE) results for an optimized crystal structure of KSc4Al.

The space group is F-43m (No. 216) and the conventional cell measures 8.653, 8.653 and 8.653 Å, with angles of 90.00, 90.00 and 90.00 degrees. Symmetry generates all atoms from K at (0.000, 0.000, 0.000), Sc at (0.122, 0.122, 0.622) and Al at (0.250, 0.250, 0.250).

For the total magnetization, the calculation gives 0.000 μB/atom. The crystal system is cubic. The formation enthalpy at 0 K comes out at 0.479 eV/atom. The volume is 647.8 Å³ per cell.



(3)
DFT (PBE) results for an optimized crystal structure of KSc2Al2.

The space group is P4/mbm (No. 127) and the conventional cell measures 8.957, 8.957 and 3.021 Å, with angles of 90.00, 90.00 and 90.00 degrees. Symmetry generates all atoms from K at (0.000, 0.000, 0.000), Sc at (0.123, 0.377, 0.000) and Al at (0.171, 0.671, 0.500).

For the total magnetization, the calculation gives 0.000 μB/atom. The crystal system is tetragonal. The formation enthalpy at 0 K comes out at -0.053 eV/atom. The volume is 242.4 Å³ per cell. Its relative energy among the computed polymorphs is 0 meV/atom.